# 1
Sr4CoRe | GGA-PBE | relaxed

Properties
* calculated formation energy: 164 kJ per mole of atoms
* calculated total energy: -2.677 eV per atom
* density of states at the Fermi level: 2.373 states/eV per atom
* total magnetic moment: 14.86 μB/cell

Unit cell a=9.2864 b=9.2864 c=9.2864 alpha=90.00 beta=90.00 gamma=90.00
Last column: nearest neighbours and their distance in Å.
Space group F-43m (No. 216)
Unique sites:
Sr 0.1254 0.1254 0.1254  6 Sr 3.27-3.29
Co 0.2500 0.2500 0.7500  12 Sr 3.85, 4 Re 4.02
Re 0.0000 0.0000 0.5000  12 Sr 3.85, 4 Co 4.02

=====

# 2
CrCd2As | GGA-PBE | relaxed

Properties
* calculated formation energy: 15 kJ per mole of atoms
* calculated total energy: -3.870 eV per atom
* density of states at the Fermi level: 0.355 states/eV per atom
* total magnetic moment: 7.04 μB/cell

Unit cell a=7.3422 b=4.2332 c=6.0616 alpha=90.00 beta=113.94 gamma=90.00
Last column: nearest neighbours and their distance in Å.
Space group Cm (No. 8)
Unique sites:
Cr 0.0000 0.0000 0.0000  3 As 2.54
Cd 0.1914 0.0000 0.5716  3 Cd 2.95, 3 As 2.96-2.97, 1 Cr 3.17
Cd 0.4254 0.0000 0.2749  3 Cr 2.88, 3 Cd 2.95
As 0.1248 0.5000 0.8743  3 Cr 2.54

=====

# 3
SrReSiOs2 | GGA-PBE | relaxed

Properties
* calculated total energy: -6.799 eV per atom
* density of states at the Fermi level: 1.029 states/eV per atom
* total magnetic moment: 2.56 μB/cell

Unit cell a=4.4558 b=4.4558 c=5.0674 alpha=90.00 beta=90.00 gamma=90.00
Last column: nearest neighbours and their distance in Å.
Space group P4/mmm (No. 123)
Unique sites:
Sr 0.0000 0.0000 0.0000  2 Si 2.53
Re 0.5000 0.5000 0.0000  4 Sr 3.15, 8 Os 3.37
Si 0.0000 0.0000 0.5000  4 Os 2.23
Os 0.0000 0.5000 0.5000  2 Si 2.23

=====

V readings, ordered: 800.8 172.2 100.6 Å³/cell